No. 1
# ReSi2Ag (PBE, relaxed)
# Energy above the most stable polymorph in this dataset ... 45 meV/atom
# Total DFT energy (no corrections) ... -6.402 eV per atom
# Raw formation energy ... 134.7 meV per atom
# Total magnetic moment ... 0.00 μB/cell
data_ReSi2Ag
_space_group_name_H-M_alt 'P 4/m m m'
_space_group_IT_number 123
_space_group_name_Hall '-P 4 2'
_cell_length_a 3.123
_cell_length_b 3.123
_cell_length_c 6.126
_cell_angle_alpha 90.00
_cell_angle_beta 90.00
_cell_angle_gamma 90.00
loop_
_atom_site_label
_atom_site_fract_x
_atom_site_fract_y
_atom_site_fract_z
Re1 0.000 0.000 0.000
Si1 0.500 0.500 0.218
Ag1 0.000 0.000 0.500

=====

No. 2
# ReSi2Ag (PBE, relaxed)
# Energy above the most stable polymorph in this dataset ... 254 meV/atom
# Total DFT energy (no corrections) ... -6.193 eV per atom
# Raw formation energy ... 343.8 meV per atom
# Total magnetic moment ... 0.00 μB/cell
data_ReSi2Ag
_space_group_name_H-M_alt 'I 4/m m m'
_space_group_IT_number 139
_space_group_name_Hall '-I 4 2'
_cell_length_a 4.020
_cell_length_b 4.020
_cell_length_c 7.205
_cell_angle_alpha 90.00
_cell_angle_beta 90.00
_cell_angle_gamma 90.00
loop_
_atom_site_label
_atom_site_fract_x
_atom_site_fract_y
_atom_site_fract_z
Re1 0.000 0.000 0.000
Si1 0.000 0.500 0.250
Ag1 0.000 0.000 0.500

=====

No. 3
# ReSiAg2 (PBE, relaxed)
# Total DFT energy (no corrections) ... -5.593 eV per atom
# Raw formation energy ... 300.3 meV per atom
# Total magnetic moment ... 0.00 μB/cell
data_ReSiAg2
_space_group_name_H-M_alt 'P 4 m m'
_space_group_IT_number 99
_cell_length_a 3.007
_cell_length_b 3.007
_cell_length_c 7.115
_cell_angle_alpha 90.00
_cell_angle_beta 90.00
_cell_angle_gamma 90.00
loop_
_space_group_symop_operation_xyz
'x,y,z'
'-y,x,z'
'-x,-y,z'
'y,-x,z'
'-x,y,z'
'y,x,z'
'x,-y,z'
'-y,-x,z'
loop_
_atom_site_label
_atom_site_fract_x
_atom_site_fract_y
_atom_site_fract_z
Re1 0.000 0.000 0.000
Si1 0.500 0.500 0.176
Ag1 0.000 0.000 0.432
Ag2 0.500 0.500 0.716

=====

No. 4
# ReSi2Ag (PBE, relaxed)
# Energy above the most stable polymorph in this dataset ... 244 meV/atom
# Total DFT energy (no corrections) ... -6.203 eV per atom
# Raw formation energy ... 333.5 meV per atom
# Total magnetic moment ... 0.00 μB/cell
data_ReSi2Ag
_space_group_name_H-M_alt 'R 3 m'
_space_group_IT_number 160
_space_group_name_Hall 'R 3 -2"'
_cell_length_a 2.9360
_cell_length_b 2.9360
_cell_length_c 24.4124
_cell_angle_alpha 90.00
_cell_angle_beta 90.00
_cell_angle_gamma 120.00
loop_
_atom_site_label
_atom_site_fract_x
_atom_site_fract_y
_atom_site_fract_z
Re1 0.0000 0.0000 0.0000
Si1 0.0000 0.0000 0.4829
Si2 0.0000 0.0000 0.7400
Ag1 0.0000 0.0000 0.2347

=====

No. 5
# ReSi2Ag (PBE, relaxed)
# Energy above the most stable polymorph in this dataset ... 687 meV/atom
# Total DFT energy (no corrections) ... -5.760 eV per atom
# Raw formation energy ... 775.9 meV per atom
# Total magnetic moment ... 0.00 μB/cell
data_ReSi2Ag
_space_group_name_H-M_alt 'I -4 2 d'
_space_group_IT_number 122
_space_group_name_Hall 'I -4 2bw'
_cell_length_a 5.654
_cell_length_b 5.654
_cell_length_c 11.084
_cell_angle_alpha 90.00
_cell_angle_beta 90.00
_cell_angle_gamma 90.00
loop_
_atom_site_label
_atom_site_fract_x
_atom_site_fract_y
_atom_site_fract_z
Re1 0.000 0.000 0.000
Si1 0.217 0.250 0.125
Ag1 0.000 0.000 0.500

=====

No. 6
# ReSi2Ag (PBE, relaxed)
# Energy above the most stable polymorph in this dataset ... 35 meV/atom
# Total DFT energy (no corrections) ... -6.412 eV per atom
# Raw formation energy ... 124.8 meV per atom
# Total magnetic moment ... 0.00 μB/cell
data_ReSi2Ag
_space_group_name_H-M_alt 'P 4 m m'
_space_group_IT_number 99
_cell_length_a 3.338
_cell_length_b 3.338
_cell_length_c 5.296
_cell_angle_alpha 90.00
_cell_angle_beta 90.00
_cell_angle_gamma 90.00
loop_
_space_group_symop_operation_xyz
'x,y,z'
'-y,x,z'
'-x,-y,z'
'y,-x,z'
'-x,y,z'
'y,x,z'
'x,-y,z'
'-y,-x,z'
loop_
_atom_site_label
_atom_site_fract_x
_atom_site_fract_y
_atom_site_fract_z
Re1 0.000 0.000 0.000
Si1 0.000 0.000 0.459
Si2 0.500 0.500 0.174
Ag1 0.500 0.500 0.661

=====

No. 7
# ReSi2Ag (PBE, relaxed)
# Energy above the most stable polymorph in this dataset ... 696 meV/atom
# Total DFT energy (no corrections) ... -5.751 eV per atom
# Raw formation energy ... 785.6 meV per atom
# Total magnetic moment ... 0.00 μB/cell
data_ReSi2Ag
_space_group_name_H-M_alt 'F -4 3 m'
_space_group_IT_number 216
_space_group_name_Hall 'F -4 2 3'
_cell_length_a 6.254
_cell_length_b 6.254
_cell_length_c 6.254
_cell_angle_alpha 90.00
_cell_angle_beta 90.00
_cell_angle_gamma 90.00
loop_
_atom_site_label
_atom_site_fract_x
_atom_site_fract_y
_atom_site_fract_z
Re1 0.000 0.000 0.000
Si1 0.000 0.000 0.500
Si2 0.250 0.250 0.250
Ag1 0.250 0.250 0.750

=====

No. 8
# ReSiAg3 (PBE, relaxed)
# Energy above the most stable polymorph in this dataset ... 0 meV/atom
# Total DFT energy (no corrections) ... -3.901 eV per atom
# Raw formation energy ... 1383.9 meV per atom
# Total magnetic moment ... 3.91 μB/cell
data_ReSiAg3
_space_group_name_H-M_alt 'P m -3 m'
_space_group_IT_number 221
_space_group_name_Hall '-P 4 2 3'
_cell_length_a 4.685
_cell_length_b 4.685
_cell_length_c 4.685
_cell_angle_alpha 90.00
_cell_angle_beta 90.00
_cell_angle_gamma 90.00
loop_
_atom_site_label
_atom_site_fract_x
_atom_site_fract_y
_atom_site_fract_z
Re1 0.000 0.000 0.000
Si1 0.500 0.500 0.500
Ag1 0.000 0.500 0.500

=====

No. 9
# ReSiAg2 (PBE, relaxed)
# Total DFT energy (no corrections) ... -5.286 eV per atom
# Raw formation energy ... 607.0 meV per atom
# Total magnetic moment ... 0.00 μB/cell
data_ReSiAg2
_space_group_name_H-M_alt 'P m m m'
_space_group_IT_number 47
_cell_length_a 2.721
_cell_length_b 4.499
_cell_length_c 5.290
_cell_angle_alpha 90.00
_cell_angle_beta 90.00
_cell_angle_gamma 90.00
loop_
_space_group_symop_operation_xyz
'x,y,z'
'-x,-y,-z'
'-x,-y,z'
'x,y,-z'
'x,-y,-z'
'-x,y,z'
'-x,y,-z'
'x,-y,z'
loop_
_atom_site_label
_atom_site_fract_x
_atom_site_fract_y
_atom_site_fract_z
Re1 0.000 0.000 0.000
Si1 0.000 0.000 0.500
Ag1 0.500 0.500 0.247

=====

No. 10
# ReSi2Ag (PBE, relaxed)
# Energy above the most stable polymorph in this dataset ... 0 meV/atom
# Total DFT energy (no corrections) ... -6.447 eV per atom
# Raw formation energy ... 89.3 meV per atom
# Total magnetic moment ... 0.00 μB/cell
data_ReSi2Ag
_space_group_name_H-M_alt 'P 1 2/m 1'
_space_group_IT_number 10
_cell_length_a 3.130
_cell_length_b 2.842
_cell_length_c 7.331
_cell_angle_alpha 90.00
_cell_angle_beta 90.95
_cell_angle_gamma 90.00
loop_
_space_group_symop_operation_xyz
'x,y,z'
'-x,-y,-z'
'-x,y,-z'
'x,-y,z'
loop_
_atom_site_label
_atom_site_fract_x
_atom_site_fract_y
_atom_site_fract_z
Re1 0.000 0.000 0.000
Si1 0.492 0.500 0.804
Ag1 0.500 0.000 0.500

=====

No. 11
# ReSiAg2 (PBE, relaxed)
# Total DFT energy (no corrections) ... -5.538 eV per atom
# Raw formation energy ... 355.9 meV per atom
# Total magnetic moment ... 0.00 μB/cell
data_ReSiAg2
_space_group_name_H-M_alt 'I m m m'
_space_group_IT_number 71
_space_group_name_Hall '-I 2 2'
_cell_length_a 2.814
_cell_length_b 4.421
_cell_length_c 10.101
_cell_angle_alpha 90.00
_cell_angle_beta 90.00
_cell_angle_gamma 90.00
loop_
_atom_site_label
_atom_site_fract_x
_atom_site_fract_y
_atom_site_fract_z
Re1 0.000 0.000 0.000
Si1 0.000 0.000 0.500
Ag1 0.000 0.500 0.223

=====

No. 12
# ReSiAg4 (PBE, relaxed)
# Total DFT energy (no corrections) ... -3.894 eV per atom
# Raw formation energy ... 985.1 meV per atom
# Total magnetic moment ... 11.89 μB/cell
data_ReSiAg4
_space_group_name_H-M_alt 'F -4 3 m'
_space_group_IT_number 216
_space_group_name_Hall 'F -4 2 3'
_cell_length_a 7.605
_cell_length_b 7.605
_cell_length_c 7.605
_cell_angle_alpha 90.00
_cell_angle_beta 90.00
_cell_angle_gamma 90.00
loop_
_atom_site_label
_atom_site_fract_x
_atom_site_fract_y
_atom_site_fract_z
Re1 0.000 0.000 0.000
Si1 0.250 0.250 0.750
Ag1 0.125 0.125 0.375

=====

No. 13
# ReSiAg2 (PBE, relaxed)
# Total DFT energy (no corrections) ... -5.601 eV per atom
# Raw formation energy ... 292.9 meV per atom
# Total magnetic moment ... 0.00 μB/cell
data_ReSiAg2
_space_group_name_H-M_alt 'A m m 2'
_space_group_IT_number 38
_cell_length_a 3.871
_cell_length_b 2.830
_cell_length_c 11.819
_cell_angle_alpha 90.00
_cell_angle_beta 90.00
_cell_angle_gamma 90.00
loop_
_space_group_symop_operation_xyz
'x,y,z'
'-x,-y,z'
'-x,y,z'
'x,-y,z'
'x,y+1/2,z+1/2'
'-x,-y+1/2,z+1/2'
'-x,y+1/2,z+1/2'
'x,-y+1/2,z+1/2'
loop_
_atom_site_label
_atom_site_fract_x
_atom_site_fract_y
_atom_site_fract_z
Re1 0.000 0.000 0.000
Si1 0.500 0.000 0.563
Ag1 0.000 0.000 0.720
Ag2 0.500 0.000 0.345

=====

No. 14
# ReSi2Ag (PBE, relaxed)
# Energy above the most stable polymorph in this dataset ... 14 meV/atom
# Total DFT energy (no corrections) ... -6.433 eV per atom
# Raw formation energy ... 103.6 meV per atom
# Total magnetic moment ... 0.00 μB/cell
data_ReSi2Ag
_space_group_name_H-M_alt 'R -3 m'
_space_group_IT_number 166
_space_group_name_Hall '-R 3 2"'
_cell_length_a 2.9449
_cell_length_b 2.9449
_cell_length_c 24.7505
_cell_angle_alpha 90.00
_cell_angle_beta 90.00
_cell_angle_gamma 120.00
loop_
_atom_site_label
_atom_site_fract_x
_atom_site_fract_y
_atom_site_fract_z
Re1 0.0000 0.0000 0.0000
Si1 0.0000 0.0000 0.2582
Ag1 0.0000 0.0000 0.5000

=====

No. 15
# ReSiAg2 (PBE, relaxed)
# Total DFT energy (no corrections) ... -5.670 eV per atom
# Raw formation energy ... 223.5 meV per atom
# Total magnetic moment ... 0.00 μB/cell
data_ReSiAg2
_space_group_name_H-M_alt 'R 3 m'
_space_group_IT_number 160
_space_group_name_Hall 'R 3 -2"'
_cell_length_a 2.8898
_cell_length_b 2.8898
_cell_length_c 26.7889
_cell_angle_alpha 90.00
_cell_angle_beta 90.00
_cell_angle_gamma 120.00
loop_
_atom_site_label
_atom_site_fract_x
_atom_site_fract_y
_atom_site_fract_z
Re1 0.0000 0.0000 0.0000
Si1 0.0000 0.0000 0.7343
Ag1 0.0000 0.0000 0.2425
Ag2 0.0000 0.0000 0.4840